A.
Tb5PrEr2 | GGA-PBE | relaxed

Cell lengths 5.6648, 8.6503, 11.4784 Å; angles 90.00, 90.00, 109.12 degrees
With the nearest neighbours (Å) after each atom.
Atoms (fractional coordinates):
Tb 0.4128 0.8253 0.0775  6 Tb 3.36-3.70, 3 Er 3.50-3.73, 1 Pr 3.62
Tb 0.3961 0.7917 0.7500  8 Tb 3.39-3.77, 2 Pr 3.48, 2 Er 3.57
Tb 0.9574 0.9149 0.8869  2 Tb 2.95-3.14
Tb 0.5872 0.1747 0.9225  6 Tb 3.36-3.70, 3 Er 3.50-3.73, 1 Pr 3.62
Er 0.2127 0.4255 0.9203  5 Tb 3.50-3.73, 3 Pr 3.58-3.79, 3 Er 3.59-3.91
Er 0.2128 0.4256 0.5797  5 Tb 3.50-3.73, 3 Pr 3.58-3.79, 3 Er 3.58-3.91
Tb 0.6039 0.2083 0.2500  8 Tb 3.39-3.77, 2 Pr 3.48, 2 Er 3.57
Tb 0.9573 0.9145 0.6130  2 Tb 2.95-3.14
Tb 0.0427 0.0855 0.3870  2 Tb 2.95-3.14
Pr 0.7728 0.5453 0.7500  6 Tb 3.40-3.62, 6 Er 3.58-3.79
Tb 0.4127 0.8254 0.4222  6 Tb 3.37-3.70, 3 Er 3.50-3.73, 1 Pr 3.62
Tb 0.0426 0.0851 0.1131  2 Tb 2.95-3.14
Tb 0.5873 0.1746 0.5778  6 Tb 3.37-3.70, 3 Er 3.50-3.73, 1 Pr 3.62
Er 0.7873 0.5745 0.0797  5 Tb 3.50-3.73, 3 Pr 3.58-3.79, 3 Er 3.59-3.91
Pr 0.2272 0.4547 0.2500  6 Tb 3.40-3.62, 6 Er 3.58-3.79
Er 0.7872 0.5744 0.4203  5 Tb 3.50-3.73, 3 Pr 3.58-3.79, 3 Er 3.58-3.91


B.
Tb5PrEr2 | GGA-PBE | relaxed

Cell lengths 5.0294, 7.1386, 14.2806 Å; angles 90.00, 90.00, 90.00 degrees
With the nearest neighbours (Å) after each atom.
Atoms (fractional coordinates):
Er 0.5000 0.2500 0.1260  10 Tb 3.54-3.60, 2 Pr 3.57
Tb 0.5000 0.7481 0.6259  4 Er 3.54-3.60, 6 Tb 3.55-3.57, 2 Pr 3.58
Tb 0.0000 0.0000 0.0000  6 Tb 3.55-3.56, 2 Pr 3.57, 4 Er 3.57
Tb 0.0000 0.0011 0.2488  4 Er 3.54-3.57, 7 Tb 3.55-3.57, 1 Pr 3.59
Er 0.5000 0.7500 0.3740  10 Tb 3.54-3.60, 2 Pr 3.57
Tb 0.0000 0.4989 0.7488  4 Er 3.54-3.57, 7 Tb 3.55-3.57, 1 Pr 3.59
Pr 0.0000 0.0000 0.5000  8 Tb 3.57-3.59, 4 Er 3.57
Tb 0.5000 0.2481 0.8741  4 Er 3.54-3.60, 6 Tb 3.55-3.57, 2 Pr 3.58
Tb 0.0000 0.5000 0.5000  6 Tb 3.55-3.56, 2 Pr 3.57, 4 Er 3.57
Er 0.5000 0.2500 0.6260  10 Tb 3.54-3.60, 2 Pr 3.57
Pr 0.0000 0.5000 0.0000  8 Tb 3.57-3.59, 4 Er 3.57
Tb 0.0000 0.5011 0.2512  4 Er 3.54-3.57, 7 Tb 3.55-3.57, 1 Pr 3.59
Tb 0.5000 0.2519 0.3741  4 Er 3.54-3.60, 6 Tb 3.55-3.57, 2 Pr 3.58
Tb 0.0000 0.9989 0.7512  4 Er 3.54-3.57, 7 Tb 3.55-3.57, 1 Pr 3.59
Tb 0.5000 0.7519 0.1259  4 Er 3.54-3.60, 6 Tb 3.55-3.57, 2 Pr 3.58
Er 0.5000 0.7500 0.8740  10 Tb 3.54-3.60, 2 Pr 3.57


Which one sits at the top of the stability order? B does.


A.
TbPr12Er6 | GGA-PBE | relaxed

Cell lengths 8.7195, 8.7195, 8.7195 Å; angles 88.87, 88.87, 88.87 degrees
With the nearest neighbours (Å) after each atom.
Atoms (fractional coordinates):
Pr 0.9814 0.8077 0.6356  4 Pr 3.49-3.66, 4 Er 3.55-3.74, 1 Tb 3.63
Er 0.7058 0.2583 0.1002  7 Pr 3.39-3.74, 1 Tb 3.49, 2 Er 3.54
Er 0.7417 0.8998 0.2942  7 Pr 3.39-3.74, 1 Tb 3.49, 2 Er 3.54
Er 0.1002 0.7058 0.2583  7 Pr 3.39-3.74, 1 Tb 3.49, 2 Er 3.54
Pr 0.4644 0.5668 0.2170  3 Er 3.39-3.54, 4 Pr 3.39-3.65
Pr 0.4332 0.7830 0.5356  3 Er 3.39-3.54, 4 Pr 3.39-3.65
Pr 0.5356 0.4332 0.7830  3 Er 3.39-3.54, 4 Pr 3.39-3.65
Er 0.8998 0.2942 0.7417  7 Pr 3.39-3.74, 1 Tb 3.49, 2 Er 3.54
Pr 0.6356 0.9814 0.8077  4 Pr 3.49-3.66, 4 Er 3.55-3.74, 1 Tb 3.63
Pr 0.3644 0.0186 0.1923  4 Pr 3.49-3.66, 4 Er 3.55-3.74, 1 Tb 3.63
Tb 0.0000 0.0000 0.0000  6 Er 3.49, 6 Pr 3.63
Pr 0.1923 0.3644 0.0186  4 Pr 3.49-3.66, 4 Er 3.55-3.74, 1 Tb 3.63
Pr 0.0186 0.1923 0.3644  4 Pr 3.49-3.66, 4 Er 3.55-3.74, 1 Tb 3.63
Pr 0.5668 0.2170 0.4644  3 Er 3.39-3.54, 4 Pr 3.39-3.65
Er 0.2942 0.7417 0.8998  7 Pr 3.39-3.74, 1 Tb 3.49, 2 Er 3.54
Er 0.2583 0.1002 0.7058  7 Pr 3.39-3.74, 1 Tb 3.49, 2 Er 3.54
Pr 0.7830 0.5356 0.4332  3 Er 3.39-3.54, 4 Pr 3.39-3.65
Pr 0.8077 0.6356 0.9814  4 Pr 3.49-3.66, 4 Er 3.55-3.74, 1 Tb 3.63
Pr 0.2170 0.4644 0.5668  3 Er 3.39-3.54, 4 Pr 3.39-3.65


B.
TbPr12Er6 | GGA-PBE | relaxed

Cell lengths 9.6292, 9.6292, 9.6292 Å; angles 110.89, 110.89, 110.89 degrees
With the nearest neighbours (Å) after each atom.
Atoms (fractional coordinates):
Er 0.4716 0.2150 0.3180  4 Er 3.55-3.59, 7 Pr 3.61-3.70, 1 Tb 3.62
Tb 0.0000 0.0000 0.0000  6 Er 3.62, 6 Pr 3.63
Pr 0.4196 0.6277 0.9422  4 Er 3.61-3.70, 8 Pr 3.62-3.67
Pr 0.6277 0.9422 0.4196  4 Er 3.61-3.70, 8 Pr 3.62-3.67
Pr 0.5804 0.3723 0.0578  4 Er 3.61-3.70, 8 Pr 3.62-3.67
Er 0.6820 0.5284 0.7850  4 Er 3.55-3.59, 7 Pr 3.61-3.70, 1 Tb 3.62
Pr 0.8429 0.2626 0.8958  1 Tb 3.63, 8 Pr 3.63-3.67, 3 Er 3.66-3.70
Pr 0.8958 0.8429 0.2626  1 Tb 3.63, 8 Pr 3.63-3.67, 3 Er 3.66-3.70
Pr 0.1042 0.1571 0.7374  1 Tb 3.63, 8 Pr 3.63-3.67, 3 Er 3.66-3.70
Er 0.3180 0.4716 0.2150  4 Er 3.55-3.59, 7 Pr 3.61-3.70, 1 Tb 3.62
Pr 0.0578 0.5804 0.3723  4 Er 3.61-3.70, 8 Pr 3.62-3.67
Pr 0.7374 0.1042 0.1571  1 Tb 3.63, 8 Pr 3.63-3.67, 3 Er 3.66-3.70
Pr 0.3723 0.0578 0.5804  4 Er 3.61-3.70, 8 Pr 3.62-3.67
Er 0.2150 0.3180 0.4716  4 Er 3.55-3.59, 7 Pr 3.61-3.70, 1 Tb 3.62
Er 0.5284 0.7850 0.6820  4 Er 3.55-3.59, 7 Pr 3.61-3.70, 1 Tb 3.62
Pr 0.9422 0.4196 0.6277  4 Er 3.61-3.70, 8 Pr 3.62-3.67
Er 0.7850 0.6820 0.5284  4 Er 3.55-3.59, 7 Pr 3.61-3.70, 1 Tb 3.62
Pr 0.1571 0.7374 0.1042  1 Tb 3.63, 8 Pr 3.63-3.67, 3 Er 3.66-3.70
Pr 0.2626 0.8958 0.8429  1 Tb 3.63, 8 Pr 3.63-3.67, 3 Er 3.66-3.70


Which one sits at the top of the stability order? B does.


A.
Tb2Pr2Er5 | GGA-PBE | relaxed

Cell lengths 11.8295, 6.7050, 10.0952 Å; angles 109.40, 125.87, 90.00 degrees
With the nearest neighbours (Å) after each atom.
Atoms (fractional coordinates):
Tb 0.3680 0.9303 0.7467  4 Er 3.33-3.66, 2 Pr 3.55-3.57, 1 Tb 3.68
Pr 0.5000 0.5082 0.0000  4 Er 3.25-3.58, 2 Tb 3.57
Pr 0.2602 0.3555 0.5000  4 Er 3.40-3.63, 2 Tb 3.55, 2 Pr 3.79
Tb 0.8787 0.4303 0.7467  4 Er 3.33-3.66, 2 Pr 3.55-3.57, 1 Tb 3.68
Er 0.1889 0.1524 0.8934  6 Er 3.20-3.58, 1 Pr 3.25, 1 Tb 3.33
Er 0.9971 0.1517 0.5000  6 Er 3.22-3.58, 1 Pr 3.40, 2 Tb 3.56
Er 0.2046 0.6524 0.8934  6 Er 3.20-3.58, 1 Pr 3.25, 1 Tb 3.33
Er 0.4063 0.5396 0.2839  5 Er 3.20-3.57, 1 Tb 3.37, 2 Pr 3.41-3.58
Tb 0.6320 0.1835 0.2532  4 Er 3.33-3.66, 2 Pr 3.55-3.57, 1 Tb 3.68
Er 0.5937 0.2558 0.7161  5 Er 3.20-3.57, 1 Tb 3.37, 2 Pr 3.41-3.58
Er 0.8111 0.2590 0.1066  6 Er 3.20-3.58, 1 Pr 3.25, 1 Tb 3.33
Er 0.0029 0.6517 0.5000  6 Er 3.22-3.58, 1 Pr 3.40, 2 Tb 3.56
Er 0.6225 0.7558 0.7161  5 Er 3.20-3.57, 1 Tb 3.37, 2 Pr 3.41-3.58
Pr 0.0000 0.0082 0.0000  4 Er 3.25-3.58, 2 Tb 3.57
Pr 0.7398 0.8555 0.5000  4 Er 3.40-3.63, 2 Tb 3.55, 2 Pr 3.79
Er 0.3775 0.0396 0.2839  5 Er 3.20-3.57, 1 Tb 3.37, 2 Pr 3.41-3.58
Er 0.7954 0.7590 0.1066  6 Er 3.20-3.58, 1 Pr 3.25, 1 Tb 3.33
Tb 0.1213 0.6835 0.2533  4 Er 3.33-3.66, 2 Pr 3.55-3.57, 1 Tb 3.68


B.
Tb2Pr2Er5 | GGA-PBE | relaxed

Cell lengths 3.4836, 8.2146, 12.5302 Å; angles 120.45, 97.99, 90.00 degrees
With the nearest neighbours (Å) after each atom.
Atoms (fractional coordinates):
Tb 0.5466 0.7379 0.0933  7 Er 3.20-3.55, 3 Tb 3.37-3.48
Er 0.3094 0.1492 0.6188  1 Tb 3.20, 6 Er 3.22-3.48, 1 Pr 3.50
Er 0.0960 0.4598 0.1919  5 Er 3.28-3.48, 4 Tb 3.51-3.55, 1 Pr 3.56
Tb 0.4534 0.2621 0.9067  7 Er 3.20-3.55, 3 Tb 3.37-3.48
Er 0.6906 0.8508 0.3812  1 Tb 3.20, 6 Er 3.22-3.48, 1 Pr 3.50
Er 0.0000 0.0000 0.0000  4 Er 3.28-3.48, 4 Tb 3.40
Pr 0.8179 0.7780 0.6358  2 Pr 3.48, 4 Er 3.50-3.61
Pr 0.1821 0.2220 0.3642  2 Pr 3.48, 4 Er 3.50-3.61
Er 0.9040 0.5402 0.8081  5 Er 3.28-3.48, 4 Tb 3.51-3.55, 1 Pr 3.56


Which one sits at the top of the stability order? A does.


A.
Tb7PrEr12 | GGA-PBE | relaxed

Cell lengths 8.6448, 8.6448, 8.6448 Å; angles 95.24, 95.24, 95.24 degrees
With the nearest neighbours (Å) after each atom.
Atoms (fractional coordinates):
Er 0.2514 0.6796 0.8102  3 Er 3.31-3.51, 3 Tb 3.37-3.56
Pr 0.0000 0.0000 0.0000  6 Tb 3.05
Er 0.8102 0.2514 0.6796  3 Er 3.31-3.51, 3 Tb 3.37-3.56
Tb 0.0157 0.0819 0.3527  1 Tb 3.05, 2 Er 3.05-3.37, 1 Pr 3.05
Er 0.8538 0.5858 0.5223  2 Tb 3.05-3.06, 2 Er 3.08-3.31
Tb 0.5000 0.5000 0.5000  6 Er 3.06
Er 0.1462 0.4142 0.4777  2 Tb 3.05-3.06, 2 Er 3.08-3.31
Tb 0.9181 0.6473 0.9843  1 Tb 3.05, 2 Er 3.05-3.37, 1 Pr 3.05
Tb 0.9843 0.9181 0.6473  1 Tb 3.05, 2 Er 3.05-3.37, 1 Pr 3.05
Er 0.7486 0.3204 0.1898  3 Er 3.31-3.51, 3 Tb 3.37-3.56
Er 0.1898 0.7486 0.3204  3 Er 3.31-3.51, 3 Tb 3.37-3.56
Er 0.3204 0.1898 0.7486  3 Er 3.31-3.51, 3 Tb 3.37-3.56
Er 0.4142 0.4777 0.1462  2 Tb 3.05-3.06, 2 Er 3.08-3.31
Er 0.5223 0.8538 0.5858  2 Tb 3.05-3.06, 2 Er 3.08-3.31
Er 0.4777 0.1462 0.4142  2 Tb 3.05-3.06, 2 Er 3.08-3.31
Er 0.5858 0.5223 0.8538  2 Tb 3.05-3.06, 2 Er 3.08-3.31
Er 0.6796 0.8102 0.2514  3 Er 3.31-3.51, 3 Tb 3.37-3.56
Tb 0.6473 0.9843 0.9181  1 Tb 3.05, 2 Er 3.05-3.37, 1 Pr 3.05
Tb 0.0819 0.3527 0.0157  1 Tb 3.05, 2 Er 3.05-3.37, 1 Pr 3.05
Tb 0.3527 0.0157 0.0819  1 Tb 3.05, 2 Er 3.05-3.37, 1 Pr 3.05


B.
Tb7PrEr12 | GGA-PBE | relaxed

Cell lengths 9.6902, 9.6902, 9.6902 Å; angles 109.47, 109.47, 109.47 degrees
With the nearest neighbours (Å) after each atom.
Atoms (fractional coordinates):
Er 0.7458 0.0005 0.2547  2 Tb 2.80
Er 0.4912 0.7453 0.7458  2 Tb 2.80
Tb 0.0000 0.0000 0.5000  6 Er 2.80
Tb 0.5000 0.0000 0.5000  12 Er 3.89-3.96
Er 0.2547 0.2542 0.5088  2 Tb 2.80
Tb 0.0000 0.5000 0.0000  6 Er 2.80
Tb 0.5000 0.0000 0.0000  6 Er 2.80
Er 0.5088 0.2547 0.2542  2 Tb 2.80
Er 0.2542 0.5088 0.2547  2 Tb 2.80
Er 0.2542 0.9995 0.7453  2 Tb 2.80
Er 0.7453 0.7458 0.4912  2 Tb 2.80
Tb 0.5000 0.5000 0.5000  6 Er 2.80
Tb 0.5000 0.5000 0.0000  12 Er 3.89-3.96
Er 0.7453 0.2542 0.9995  2 Tb 2.80
Tb 0.0000 0.5000 0.5000  12 Er 3.89-3.96
Er 0.9995 0.7453 0.2542  2 Tb 2.80
Er 0.0005 0.2547 0.7458  2 Tb 2.80
Er 0.2547 0.7458 0.0005  2 Tb 2.80
Pr 0.0000 0.0000 0.0000  12 Er 4.03
Er 0.7458 0.4912 0.7453  2 Tb 2.80


Which one sits at the top of the stability order? A does.


A.
Tb3Pr4Er2 | GGA-PBE | relaxed

Cell lengths 3.6688, 6.7195, 14.5953 Å; angles 64.30, 90.00, 105.84 degrees
With the nearest neighbours (Å) after each atom.
Atoms (fractional coordinates):
Er 0.3390 0.6779 0.2090  4 Tb 3.36-3.40, 5 Pr 3.54-3.66, 2 Er 3.67
Pr 0.8915 0.7830 0.3915  5 Tb 3.46-3.65, 2 Er 3.54, 2 Pr 3.67
Pr 0.6495 0.2991 0.1279  3 Er 3.64-3.66, 4 Tb 3.64-4.05, 4 Pr 3.67-3.91
Tb 0.3798 0.7596 0.6120  3 Tb 3.34-3.67, 2 Er 3.40, 6 Pr 3.46-3.65
Tb 0.6202 0.2404 0.3880  3 Tb 3.34-3.67, 2 Er 3.40, 6 Pr 3.46-3.65
Pr 0.1085 0.2170 0.6085  5 Tb 3.46-3.65, 2 Er 3.54, 2 Pr 3.67
Pr 0.3505 0.7009 0.8721  3 Er 3.64-3.66, 4 Tb 3.64-4.05, 4 Pr 3.67-3.91
Er 0.6610 0.3221 0.7910  4 Tb 3.36-3.40, 5 Pr 3.54-3.66, 2 Er 3.67
Tb 0.0000 0.0000 0.0000  4 Er 3.36, 2 Tb 3.67, 4 Pr 3.72


B.
Tb3Pr4Er2 | GGA-PBE | relaxed

Cell lengths 3.6252, 3.6252, 26.9039 Å; angles 90.00, 90.00, 120.00 degrees
With the nearest neighbours (Å) after each atom.
Atoms (fractional coordinates):
Pr 0.6667 0.3333 0.2128  1 Er 3.48, 3 Tb 3.57, 6 Pr 3.63
Pr 0.0000 0.0000 0.5475  3 Tb 3.61, 9 Pr 3.63-3.77
Er 0.6667 0.3333 0.8765  3 Tb 3.51, 3 Pr 3.59, 6 Er 3.63
Tb 0.0000 0.0000 0.3202  6 Pr 3.57-3.64, 6 Tb 3.63
Tb 0.0000 0.0000 0.9810  6 Er 3.46-3.51, 6 Tb 3.63
Er 0.6667 0.3333 0.0835  3 Tb 3.46, 1 Pr 3.48, 6 Er 3.63
Tb 0.6667 0.3333 0.6569  6 Pr 3.61-3.65, 6 Tb 3.63
Pr 0.6667 0.3333 0.4309  9 Pr 3.63-3.77, 3 Tb 3.64
Pr 0.0000 0.0000 0.7679  3 Er 3.59, 6 Pr 3.63, 3 Tb 3.65


Which one sits at the top of the stability order? B does.


A.
Tb5PrEr | GGA-PBE | relaxed

Cell lengths 6.7883, 6.7883, 13.7944 Å; angles 61.52, 61.52, 60.13 degrees
With the nearest neighbours (Å) after each atom.
Atoms (fractional coordinates):
Tb 0.8297 0.1703 0.2500  2 Tb 2.99, 1 Er 3.05
Tb 0.6097 0.8300 0.7514  2 Tb 2.99-3.28, 1 Pr 3.29
Er 0.7223 0.2777 0.7500  3 Tb 3.05-3.32
Er 0.2777 0.7223 0.2500  3 Tb 3.05-3.32
Pr 0.0000 0.0000 0.5000  4 Tb 3.29-3.64
Tb 0.6933 0.6533 0.0001  4 Tb 3.28-3.62, 1 Er 3.32
Pr 0.0000 0.0000 0.0000  4 Tb 3.29-3.64
Tb 0.8300 0.6097 0.2514  2 Tb 2.99-3.28, 1 Pr 3.29
Tb 0.3467 0.3067 0.4999  4 Tb 3.28-3.62, 1 Er 3.32
Tb 0.3903 0.1700 0.2486  2 Tb 2.99-3.28, 1 Pr 3.29
Tb 0.1703 0.8297 0.7500  2 Tb 2.99, 1 Er 3.05
Tb 0.6533 0.6933 0.5001  4 Tb 3.28-3.62, 1 Er 3.32
Tb 0.1700 0.3903 0.7486  2 Tb 2.99-3.28, 1 Pr 3.29
Tb 0.3067 0.3467 0.9999  4 Tb 3.28-3.62, 1 Er 3.32


B.
Tb5PrEr | GGA-PBE | relaxed

Cell lengths 5.7943, 7.9281, 7.9281 Å; angles 66.13, 68.57, 68.57 degrees
With the nearest neighbours (Å) after each atom.
Atoms (fractional coordinates):
Tb 0.7461 0.2539 0.2539  1 Pr 2.94, 1 Er 3.04
Er 0.0000 0.0000 0.0000  6 Tb 3.04-3.28
Tb 0.5000 0.8234 0.1766  1 Pr 2.80, 1 Tb 3.06
Tb 0.5000 0.1766 0.8234  1 Pr 2.80, 1 Tb 3.06
Pr 0.5000 0.5000 0.5000  6 Tb 2.80-2.94
Tb 0.2539 0.7461 0.7461  1 Pr 2.94, 1 Er 3.04
Tb 0.0000 0.5000 0.5000  2 Pr 2.90


Which one sits at the top of the stability order? A does.